1.
PBE SrAc, relaxed; energy of formation = 0.034 eV/atom
1.0
4.099 0.000 0.000
-2.049 3.550 0.000
0.000 0.000 13.519
Ac Sr
2 2
direct
0.333 0.667 0.886 Ac
0.667 0.333 0.114 Ac
0.667 0.333 0.631 Sr
0.333 0.667 0.369 Sr

2.
PBE Pa5Hg, relaxed; energy of formation = 0.045 eV/atom
1.0
3.119 0.000 0.000
0.000 3.119 0.000
0.000 0.000 15.149
Pa Hg
5 1
direct
0.000 0.000 0.000 Pa
0.000 0.000 0.333 Pa
0.000 0.000 0.667 Pa
0.500 0.500 0.835 Pa
0.500 0.500 0.165 Pa
0.500 0.500 0.500 Hg

3.
PBE AcYIrRh, relaxed; energy of formation = -0.603 eV/atom
1.0
5.062 0.000 0.000
2.531 4.384 0.000
2.531 1.461 4.133
Ac Y Rh Ir
1 1 1 1
direct
0.250 0.250 0.250 Ac
0.750 0.750 0.750 Y
0.500 0.500 0.500 Rh
0.000 0.000 0.000 Ir

4.
PBE YAl2Cu4Si, relaxed; formation energy without anion corrections = -0.22 eV/atom
1.0
4.116 0.000 0.000
2.058 3.565 0.000
2.058 1.188 8.505
Al Cu Si Y
2 4 1 1
direct
0.753 0.753 0.742 Al
0.247 0.247 0.258 Al
0.870 0.870 0.391 Cu
0.130 0.130 0.609 Cu
0.407 0.407 0.780 Cu
0.593 0.593 0.220 Cu
0.500 0.500 0.500 Si
0.000 0.000 0.000 Y

5.
PBE Cr2ReOs, relaxed; energy of formation = 0.142 eV/atom
1.0
-3.951 -0.528 2.234
-0.852 -4.479 0.299
3.735 2.406 1.068
Os Cr Re
1 2 1
direct
0.250 0.750 0.500 Os
0.000 0.000 0.000 Cr
0.500 0.500 0.000 Cr
0.750 0.250 0.500 Re

6.
PBE LiPr3Hg4, relaxed; energy of formation = -0.336 eV/atom
1.0
-1.467 3.381 -0.806
-5.729 -3.218 -3.075
-0.469 -0.048 9.483
Pr Li Hg
3 1 4
direct
0.780 0.780 0.559 Pr
0.000 0.500 0.000 Pr
0.220 0.220 0.441 Pr
0.500 0.000 0.000 Li
0.381 0.149 0.761 Hg
0.619 0.388 0.239 Hg
0.619 0.851 0.239 Hg
0.381 0.612 0.761 Hg

7.
PBE La3Nd13, relaxed; energy of formation = 0.032 eV/atom
1.0
-1.603 1.803 7.036
-0.117 -8.535 2.161
8.585 0.944 1.714
Nd La
13 3
direct
0.000 0.791 0.209 Nd
0.250 0.460 0.043 Nd
0.500 0.292 0.708 Nd
0.750 0.460 0.043 Nd
0.500 0.707 0.790 Nd
0.250 0.542 0.458 Nd
0.250 0.957 0.540 Nd
0.500 0.210 0.293 Nd
0.000 0.708 0.791 Nd
0.500 0.791 0.209 Nd
0.750 0.542 0.458 Nd
0.000 0.209 0.292 Nd
0.750 0.957 0.540 Nd
0.750 0.041 0.959 La
0.250 0.041 0.959 La
0.000 0.292 0.708 La

8.
PBE Ta4ReCl, relaxed; formation energy without anion corrections = 0.95 eV/atom
1.0
0.000 3.833 3.833
3.833 0.000 3.833
3.833 3.833 0.000
Ta Cl Re
4 1 1
direct
0.374 0.374 0.877 Ta
0.374 0.877 0.374 Ta
0.374 0.374 0.374 Ta
0.877 0.374 0.374 Ta
0.750 0.750 0.750 Cl
0.000 0.000 0.000 Re

Please write out number 8 again, unchanged.
PBE Ta4ReCl, relaxed; formation energy without anion corrections = 0.95 eV/atom
1.0
0.000 3.833 3.833
3.833 0.000 3.833
3.833 3.833 0.000
Ta Cl Re
4 1 1
direct
0.374 0.374 0.877 Ta
0.374 0.877 0.374 Ta
0.374 0.374 0.374 Ta
0.877 0.374 0.374 Ta
0.750 0.750 0.750 Cl
0.000 0.000 0.000 Re